Material: NdLuNiIr
Method: DFT, PBE
State: optimized geometry

Properties
The calculation puts the total DFT energy (no corrections) at -104.70 eV/cell.

Structure (CIF):
```
data_NdLuNiIr
_symmetry_space_group_name_H-M 'F -4 3 m'
_symmetry_Int_Tables_number 216
_symmetry_space_group_name_Hall 'F -4 2 3'
_cell_length_a 6.872
_cell_length_b 6.872
_cell_length_c 6.872
_cell_angle_alpha 90.00
_cell_angle_beta 90.00
_cell_angle_gamma 90.00
loop_
_atom_site_label
_atom_site_type_symbol
_atom_site_fract_x
_atom_site_fract_y
_atom_site_fract_z
Nd1 Nd 0.000 0.000 0.000
Lu1 Lu 0.000 0.000 0.500
Ni1 Ni 0.250 0.250 0.750
Ir1 Ir 0.250 0.250 0.250
```

***

Material: Tl2ZnAgF8
Method: DFT, PBE
State: optimized geometry

Properties
The uncorrected formation energy is -1637.9 meV/atom.

Structure (CIF):
```
data_Tl2ZnAgF8
_symmetry_space_group_name_H-M 'I -4 m 2'
_symmetry_Int_Tables_number 119
_symmetry_space_group_name_Hall 'I -4 -2'
_cell_length_a 7.189
_cell_length_b 7.189
_cell_length_c 8.078
_cell_angle_alpha 90.00
_cell_angle_beta 90.00
_cell_angle_gamma 90.00
loop_
_atom_site_label
_atom_site_type_symbol
_atom_site_fract_x
_atom_site_fract_y
_atom_site_fract_z
Tl1 Tl 0.000 0.000 0.000
Tl2 Tl 0.000 0.500 0.250
Zn1 Zn 0.000 0.000 0.500
Ag1 Ag 0.000 0.500 0.750
F1 F 0.000 0.194 0.798
F2 F 0.000 0.269 0.446
```

***

Material: Pm4SmTl5
Method: DFT, PBE
State: optimized geometry

Properties
The calculation puts the total DFT energy (no corrections) at -39.42 eV/cell.

Structure (CIF):
```
data_Pm4SmTl5
_symmetry_space_group_name_H-M 'P 4/m m m'
_symmetry_Int_Tables_number 123
_symmetry_space_group_name_Hall '-P 4 2'
_cell_length_a 3.860
_cell_length_b 3.860
_cell_length_c 19.533
_cell_angle_alpha 90.00
_cell_angle_beta 90.00
_cell_angle_gamma 90.00
loop_
_atom_site_label
_atom_site_type_symbol
_atom_site_fract_x
_atom_site_fract_y
_atom_site_fract_z
Pm1 Pm 0.000 0.000 0.100
Pm2 Pm 0.000 0.000 0.301
Sm1 Sm 0.000 0.000 0.500
Tl1 Tl 0.500 0.500 0.000
Tl2 Tl 0.500 0.500 0.200
Tl3 Tl 0.500 0.500 0.401
```

***

| no. | calculated volume (Å³/atom) | total magnetization (μB/atom) | Fermi-level density of states (states/eV per atom) |
| --- | --- | --- | --- |
| 1 | 20.3 | 0.000 | 0.615 |
| 2 | 17.4 | 0.000 | 0.425 |
| 3 | 29.1 | 0.000 | 0.836 |